A geometry-optimized BaNbH structure. Source: Alexandria via LeMat-Bulk, functional PBE.

Summary:
Calculated total energy: -3.30 eV/atom
Fermi-level density of states: 3.83 states/eV/f.u.

extended XYZ file:
```
6
Lattice="4.8495 -2.7999 0.0000 0.0000 5.5998 0.0000 0.0000 0.0000 7.0278" Properties=species:S:1:pos:R:3 pbc="T T T"
H 0.0000 0.0000 0.0000
H 0.0000 0.0000 3.5139
Nb 1.6165 2.7999 5.2708
Nb 3.2330 0.0000 1.7569
Ba 1.6165 2.7999 1.7569
Ba 3.2330 0.0000 5.2708
```

***

A geometry-optimized LaTmGe3 structure. Source: Alexandria via LeMat-Bulk, functional PBE.

Summary:
Formation energy: -70.1 kJ per mole of atoms
Fermi-level density of states: 2.88 states/eV/f.u.

extended XYZ file:
```
10
Lattice="4.0174 0.0000 0.0000 0.0000 4.2311 -0.8090 0.0000 0.4200 13.6657" Properties=species:S:1:pos:R:3 pbc="T T T"
Ge 1.0044 2.3936 12.5189
Ge 3.0131 2.7575 2.9528
Ge 1.0044 1.8936 9.9038
Ge 1.0044 3.0742 4.6092
Ge 3.0131 1.5769 8.2475
Ge 3.0131 2.2575 0.3378
La 1.0044 0.3778 1.9758
La 3.0131 4.2733 10.8808
Tm 3.0131 1.0350 5.4130
Tm 1.0044 3.6161 7.4437
```

***

A geometry-optimized CaFeOs structure. Source: Alexandria via LeMat-Bulk, functional PBE.

Summary:
Formation energy: 33.2 kJ per mole of atoms
Fermi-level density of states: 2.52 states/eV/f.u.

extended XYZ file:
```
3
Lattice="3.9017 0.0000 0.0000 -1.9508 3.3790 0.0000 0.0000 0.0000 4.6595" Properties=species:S:1:pos:R:3 pbc="T T T"
Ca 0.0000 0.0000 0.0002
Os 1.9508 1.1263 2.3299
Fe 0.0000 2.2526 2.3295
```

***

A geometry-optimized Ce4Pr3DyS8 structure. Source: Alexandria via LeMat-Bulk, functional PBE.

Summary:
Raw formation energy: -32.5 eV/f.u.
Fermi-level density of states: 22.99 states/eV/f.u.

extended XYZ file:
```
16
Lattice="-4.7276 -5.2846 -3.8923 5.6838 -5.6895 0.8212 -2.7974 3.8953 6.5136" Properties=species:S:1:pos:R:3 pbc="T T T"
Ce -2.3638 -2.6423 -1.9461
Ce -3.7625 -0.6946 1.3107
Ce -1.3987 1.9477 3.2568
Ce 0.0000 0.0000 0.0000
S -4.9301 -1.5307 3.7556
S 1.7263 -3.6507 2.8597
S 3.0889 -5.5481 -0.3130
S -2.5054 1.1798 5.7519
S -1.1740 -0.7648 2.4643
S -0.6672 -6.3140 0.9783
S 0.6642 -8.2586 -2.3093
S -3.5675 -3.4281 0.5829
Pr 0.4781 -5.4871 -1.5355
Pr -0.9206 -3.5394 1.7213
Pr 1.4432 -0.8971 3.6674
Dy 2.8419 -2.8448 0.4106
```

***

Fermi-level density of states of number 1 (BaNbH)?
3.83 states/eV/f.u.